An optimized crystal structure of Na3MgNp2Se6. Source: Alexandria via LeMat-Bulk, functional PBE.

Geometry as POSCAR:
```
Na3MgNp2Se6
1.0
3.5615 -6.1692 0.0000
3.5615 6.1692 0.0000
-2.3747 0.0000 6.9703
Na Mg Np Se
3 1 2 6
Cartesian
0.0000 0.0000 0.0000
3.5615 2.0549 0.0000
3.5615 -2.0549 0.0000
2.3742 0.0000 3.4851
2.3742 4.1126 3.4851
2.3742 -4.1126 3.4851
1.2023 2.0307 1.9074
0.0293 0.0000 5.0623
1.2023 -2.0307 1.9074
3.5460 2.0307 5.0629
4.7190 0.0000 1.9079
3.5460 -2.0307 5.0629
```

final energy = -5.5650 eV/atom
V = 25.5 Å³ per atom
uncorrected formation energy = -14.4 eV per formula unit


An optimized crystal structure of Na2MgNpSe4. Source: Alexandria via LeMat-Bulk, functional PBE.

Geometry as POSCAR:
```
Na2MgNpSe4
1.0
6.9682 0.0000 0.0000
0.0000 4.1112 0.0000
-2.3692 0.0000 6.9674
Na Mg Np Se
2 1 1 4
Cartesian
0.0000 0.0000 0.0000
3.4841 2.0556 0.0000
-1.1846 2.0556 3.4837
2.2995 0.0000 3.4837
-0.0530 0.0000 5.0053
1.1436 2.0556 1.8928
3.4554 2.0556 5.0746
4.6520 0.0000 1.9621
```

final energy = -5.0668 eV/atom
V = 24.9 Å³ per atom
uncorrected formation energy = -9.4 eV per formula unit


An optimized crystal structure of Na2MgNpTe4. Source: Alexandria via LeMat-Bulk, functional PBE.

Geometry as POSCAR:
```
Na2MgNpTe4
1.0
7.5357 0.0000 0.0000
0.0000 4.4103 0.0000
-2.5747 0.0000 7.5011
Na Mg Np Te
2 1 1 4
Cartesian
0.0000 0.0000 0.0000
3.7678 2.2052 0.0000
-1.2874 2.2052 3.7506
2.4805 0.0000 3.7506
-0.0787 0.0000 5.4001
1.2353 2.2052 2.0124
3.7257 2.2052 5.4887
5.0397 0.0000 2.1010
```

final energy = -4.5201 eV/atom
V = 31.2 Å³ per atom
uncorrected formation energy = -6.4 eV per formula unit


An optimized crystal structure of Na2MgNp3Te6. Source: Alexandria via LeMat-Bulk, functional PBE.

Geometry as POSCAR:
```
Na2MgNp3Te6
1.0
3.8683 -6.6990 0.0000
3.8683 6.6990 0.0000
-2.5839 0.0000 7.2640
Na Mg Np Te
2 1 3 6
Cartesian
3.8683 4.5137 0.0000
3.8683 -4.5137 0.0000
3.8683 0.0000 0.0000
-1.2919 0.0000 3.6320
2.5764 2.3044 3.6320
2.5764 -2.3044 3.6320
0.0525 2.1724 5.4746
1.4065 0.0000 1.8362
0.0525 -2.1724 5.4746
5.1002 2.1724 1.7894
3.7462 0.0000 5.4278
5.1002 -2.1724 1.7894
```

final energy = -5.8662 eV/atom
V = 31.4 Å³ per atom
uncorrected formation energy = -8.5 eV per formula unit


An optimized crystal structure of Na3MgNp3Te8. Source: Alexandria via LeMat-Bulk, functional PBE.

Geometry as POSCAR:
```
Na3MgNp3Te8
1.0
4.3927 2.5361 7.5630
-4.3927 2.5361 7.5630
0.0000 -5.0722 7.5630
Na Mg Np Te
3 1 3 8
Cartesian
-2.1963 -1.2681 7.5630
-2.1963 1.2681 15.1261
0.0000 2.5361 7.5630
0.0000 0.0000 11.3446
-4.3927 0.0000 11.3446
-2.1963 1.2681 3.7815
2.1963 1.2681 3.7815
-2.1822 -1.2599 13.0480
0.0000 0.0000 5.5554
0.0000 -2.5198 9.6411
-2.1822 1.2599 9.6411
2.1823 -1.2599 13.0480
0.0000 2.5198 13.0480
0.0000 0.0000 17.1337
2.1823 1.2599 9.6411
```

final energy = -5.3881 eV/atom
V = 33.7 Å³ per atom
uncorrected formation energy = -11.3 eV per formula unit


An optimized crystal structure of NaMgNpTe3. Source: Alexandria via LeMat-Bulk, functional PBE.

Geometry as POSCAR:
```
NaMgNpTe3
1.0
8.9225 0.0000 0.0000
0.0000 4.5366 0.0000
-3.4828 0.0000 11.0206
Na Mg Np Te
2 2 2 6
Cartesian
1.1649 1.1341 1.6407
4.2748 3.4024 9.3800
-1.4612 1.1341 6.6875
6.9010 3.4024 4.3332
-0.1159 3.4024 9.4305
5.5556 1.1341 1.5901
-2.3270 1.1341 9.3539
0.1358 3.4024 6.2010
3.4250 3.4024 1.5450
2.0147 1.1341 9.4757
5.3040 1.1341 4.8197
7.7667 3.4024 1.6667
```

final energy = -4.9893 eV/atom
V = 37.2 Å³ per atom
uncorrected formation energy = -4.7 eV per formula unit


An optimized crystal structure of NaMgO2. Source: Alexandria via LeMat-Bulk, functional PBE.

Geometry as POSCAR:
```
NaMgO2
1.0
1.6443 0.9493 6.4637
-1.6443 0.9493 6.4637
0.0000 -1.8986 6.4637
Na Mg O
1 1 2
Cartesian
0.0000 0.0000 0.0000
0.0000 0.0000 9.6956
0.0000 0.0000 7.8708
0.0000 0.0000 11.5204
```

final energy = -4.1154 eV/atom
V = 15.1 Å³ per atom
uncorrected formation energy = -3.6 eV per formula unit


An optimized crystal structure of NaMgO2. Source: Alexandria via LeMat-Bulk, functional PBE.

Geometry as POSCAR:
```
NaMgO2
1.0
-2.3832 2.3832 5.2929
2.3832 -2.3832 5.2929
2.3832 2.3832 -5.2929
Na Mg O
2 2 4
Cartesian
0.0000 0.0000 0.0000
0.0000 2.3832 2.6464
2.3832 0.0000 2.6464
0.0000 0.0000 5.2929
1.1916 -0.8318 3.9697
1.5514 1.1916 1.3232
1.1916 3.2150 -1.3232
0.8318 1.1916 6.6161
```

final energy = -4.7618 eV/atom
V = 15.0 Å³ per atom
uncorrected formation energy = -6.2 eV per formula unit


An optimized crystal structure of NaMgO2. Source: Alexandria via LeMat-Bulk, functional PBE.

Geometry as POSCAR:
```
NaMgO2
1.0
1.5672 0.9048 6.2141
-1.5672 0.9048 6.2141
0.0000 -1.8097 6.2141
Na Mg O
1 1 2
Cartesian
0.0000 0.0000 0.0000
0.0000 0.0000 9.3211
0.0000 0.0000 2.0770
0.0000 0.0000 16.5651
```

final energy = -4.6081 eV/atom
V = 13.2 Å³ per atom
uncorrected formation energy = -5.6 eV per formula unit


An optimized crystal structure of Na2Mg2O. Source: Alexandria via LeMat-Bulk, functional PBE.

Geometry as POSCAR:
```
Na2Mg2O
1.0
5.8287 0.0000 0.0000
0.0000 5.8287 0.0000
0.0000 0.0000 6.6959
Na Mg O
4 4 2
Cartesian
1.0744 1.8400 0.0000
1.8400 4.7544 0.0000
3.9887 1.0744 0.0000
4.7544 3.9887 0.0000
1.1605 4.0748 3.3480
1.7539 1.1605 3.3480
4.0748 4.6682 3.3480
4.6682 1.7539 3.3480
0.0000 0.0000 3.3480
2.9144 2.9144 3.3480
```

final energy = -2.7617 eV/atom
V = 22.7 Å³ per atom
uncorrected formation energy = -3.0 eV per formula unit


An optimized crystal structure of Na2Mg2O. Source: Alexandria via LeMat-Bulk, functional PBE.

Geometry as POSCAR:
```
Na2Mg2O
1.0
-1.7229 1.7229 8.5060
1.7229 -1.7229 8.5060
1.7229 1.7229 -8.5060
Na Mg O
2 2 1
Cartesian
1.7229 0.0000 4.2530
0.0000 1.7229 4.2530
0.0000 0.0000 1.3574
0.0000 0.0000 15.6546
0.0000 0.0000 8.5060
```

final energy = -2.0457 eV/atom
V = 20.2 Å³ per atom
uncorrected formation energy = 0.6 eV per formula unit


An optimized crystal structure of NaMgO2. Source: Alexandria via LeMat-Bulk, functional PBE.

Geometry as POSCAR:
```
NaMgO2
1.0
1.5665 0.9044 5.4249
-1.5665 0.9044 5.4249
0.0000 -1.8089 5.4249
Na Mg O
1 1 2
Cartesian
0.0000 0.0000 0.0000
0.0000 0.0000 2.8167
0.0000 0.0000 9.3029
0.0000 0.0000 12.5288
```

final energy = -4.8735 eV/atom
V = 11.5 Å³ per atom
uncorrected formation energy = -6.7 eV per formula unit